# 1
First-principles (PBE) data for a relaxed Tl2CdSnSe4 crystal, as listed in Alexandria via LeMat-Bulk. Values from VASP.

DFT total energy: -3.39 eV/atom
Crystal system: monoclinic

The structure in Quantum ESPRESSO input format:
```
&SYSTEM
  ibrav = 0, nat = 8, ntyp = 4
/
ATOMIC_SPECIES
Tl 204.38 Tl.upf
Cd 112.41 Cd.upf
Sn 118.71 Sn.upf
Se 78.96 Se.upf
ATOMIC_POSITIONS angstrom
Tl 0.000 0.000 0.000
Tl 2.490 -2.637 2.831
Cd 2.490 2.728 2.831
Sn 4.918 0.467 0.000
Se 2.817 1.926 0.311
Se -0.099 -0.684 3.357
Se 2.162 1.926 5.352
Se 5.079 -0.684 2.305
CELL_PARAMETERS angstrom
4.918 -4.703 0.000
4.918 4.703 0.000
-4.856 0.000 5.663
```


# 2
First-principles (PBE) data for a relaxed Ti4Be3Co crystal, as listed in Alexandria via LeMat-Bulk. Values from VASP.

Formation energy: -0.198 eV per atom
Crystal system: orthorhombic

The structure in Quantum ESPRESSO input format:
```
&SYSTEM
  ibrav = 0, nat = 8, ntyp = 3
/
ATOMIC_SPECIES
Ti 47.87 Ti.upf
Be 9.01 Be.upf
Co 58.93 Co.upf
ATOMIC_POSITIONS angstrom
Ti 0.000 0.000 0.000
Ti 0.000 0.000 4.136
Ti 0.000 2.071 2.041
Ti 0.000 2.071 6.231
Be 1.491 0.000 2.072
Be 1.491 0.000 6.200
Be 1.491 2.071 0.000
Co 1.491 2.071 4.136
CELL_PARAMETERS angstrom
2.982 0.000 0.000
0.000 4.142 0.000
0.000 0.000 8.273
```


# 3
First-principles (PBE) data for a relaxed CrCdPt2 crystal, as listed in Alexandria via LeMat-Bulk. Values from VASP.

Formation energy: -0.151 eV per atom
Crystal system: orthorhombic

The structure in Quantum ESPRESSO input format:
```
&SYSTEM
  ibrav = 0, nat = 4, ntyp = 3
/
ATOMIC_SPECIES
Cr 52.00 Cr.upf
Cd 112.41 Cd.upf
Pt 195.08 Pt.upf
ATOMIC_POSITIONS angstrom
Cr 0.000 0.000 0.000
Cd 0.000 2.333 1.925
Pt 1.454 0.000 2.542
Pt 1.454 2.333 4.378
CELL_PARAMETERS angstrom
2.909 0.000 0.000
0.000 4.667 0.000
0.000 0.000 4.845
```


# 4
First-principles (PBE) data for a relaxed Ho2ErTl crystal, as listed in Alexandria via LeMat-Bulk. Values from VASP.

Formation energy: -0.160 eV per atom
Distance to the lowest polymorph of the same formula: 11 meV per atom
Crystal system: tetragonal

The structure in Quantum ESPRESSO input format:
```
&SYSTEM
  ibrav = 0, nat = 4, ntyp = 3
/
ATOMIC_SPECIES
Ho 164.93 Ho.upf
Er 167.26 Er.upf
Tl 204.38 Tl.upf
ATOMIC_POSITIONS angstrom
Ho 0.000 0.000 2.115
Ho 0.000 0.000 7.013
Er 1.794 1.794 4.564
Tl 1.794 1.794 0.000
CELL_PARAMETERS angstrom
3.587 0.000 0.000
0.000 3.587 0.000
0.000 0.000 9.128
```


> What is the formula in the fourth record?

Ho2ErTl


> Which formula does entry 4 have?

Ho2ErTl